Entry from Alexandria: a relaxed structure of Tm8Te4PPt3 (PBE).

Lattice parameters (Å, degrees): 8.261 8.540 8.262 118.93 120.00 90.00
Element x y z (fractional)
Tm 0.237 0.710 0.973
Pt 0.500 0.500 0.000
Pt 0.500 0.500 0.500
Tm 0.736 0.707 0.471
Tm 0.264 0.293 0.529
Tm 0.763 0.290 0.526
Tm 0.763 0.290 0.027
Te 0.500 0.000 0.000
Te 0.000 0.000 0.500
Tm 0.736 0.710 0.973
Pt 0.000 0.500 0.500
Tm 0.264 0.290 0.027
Te 0.500 0.000 0.500
Te 0.000 0.000 0.000
Tm 0.237 0.710 0.474
P 0.000 0.500 0.000

Calculated values
formation energy from raw total energies	-1290.8	meV/atom
E	-5.78	eV per atom


Entry from Alexandria: a relaxed structure of LaSn2C (PBE).

Lattice parameters (Å, degrees): 7.613 7.613 6.278 52.67 52.67 90.00
Element x y z (fractional)
Sn 0.375 0.475 0.750
Sn 0.225 0.625 0.250
C 0.500 0.500 0.000
C 0.250 0.750 0.500
La 0.750 0.250 0.500
La 0.000 0.000 0.000
Sn 0.525 0.125 0.250
Sn 0.875 0.775 0.750

Calculated values
formation enthalpy at 0 K	0.35	eV/atom
E	-5.19	eV per atom


Entry from Alexandria: a relaxed structure of YAlAu4 (PBE).

Lattice parameters (Å, degrees): 5.174 5.175 9.970 110.00 109.96 87.31
Element x y z (fractional)
Au 0.135 0.635 0.817
Au 0.365 0.865 0.183
Au 0.033 0.033 0.650
Y 0.250 0.250 0.000
Au 0.967 0.967 0.350
Al 0.000 0.500 0.500
Au 0.467 0.467 0.350
Au 0.635 0.135 0.817
Al 0.500 0.000 0.500
Y 0.750 0.750 0.000
Au 0.865 0.365 0.183
Au 0.533 0.533 0.650

Calculated values
formation enthalpy at 0 K	-0.52	eV/atom
E	-4.41	eV per atom
offset from the most stable computed form	10	meV per atom


Entry from Alexandria: a relaxed structure of Zr2BeHgN (PBE).

Lattice parameters (Å, degrees): 4.737 4.737 3.462 90.00 90.00 90.00
Element x y z (fractional)
Zr 0.500 0.000 0.000
Be 0.000 0.000 0.500
Hg 0.500 0.500 0.500
N 0.000 0.000 0.000
Zr 0.000 0.500 0.000

Calculated values
formation energy from raw total energies	-580.5	meV/atom
E	-6.47	eV per atom


Entry from Alexandria: a relaxed structure of Sm4SnTe2As (PBE).

Lattice parameters (Å, degrees): 4.390 7.678 7.616 70.78 90.00 90.00
Element x y z (fractional)
Te 0.500 0.000 0.500
As 0.000 0.500 0.500
Sm 0.000 0.734 0.748
Te 0.000 0.000 0.000
Sn 0.500 0.500 0.000
Sm 0.000 0.266 0.252
Sm 0.500 0.727 0.264
Sm 0.500 0.273 0.736

Calculated values
formation energy from raw total energies	-1314.5	meV/atom
E	-5.54	eV per atom


Entry from Alexandria: a relaxed structure of ScGaS2 (PBE).

Lattice parameters (Å, degrees): 8.279 8.279 8.279 26.07 26.07 26.07
Element x y z (fractional)
Ga 0.000 0.000 0.000
Sc 0.500 0.500 0.500
S 0.108 0.108 0.108
S 0.892 0.892 0.892

Calculated values
formation energy from raw total energies	-1110.2	meV/atom
E	-5.51	eV per atom